[1]
Compound: PuU2PaSe4
Source: Alexandria via LeMat-Bulk
Functional: PBE-GGA
Structure: relaxed

Summary:
**Total energy**: -8.73 eV per atom
**Spin magnetization**: 0.046 μB per atom

Unit cell a=3.9487 b=6.8279 c=7.4237 alpha=107.90 beta=90.00 gamma=90.00
Element x y z (fractional)
Pu  0.0000  0.0000  0.0000
U  0.5000  0.0000  0.5000
U  0.0000  0.5000  0.5000
Pa  0.5000  0.5000  0.0000
Se  0.5000  0.2499  0.2504
Se  0.5000  0.7501  0.7496
Se  0.0000  0.2488  0.7484
Se  0.0000  0.7512  0.2516

[2]
Compound: LiCu3Ir
Source: Alexandria via LeMat-Bulk
Functional: PBE-GGA
Structure: relaxed

Summary:
**Total energy**: -4.62 eV per atom
**Spin magnetization**: 0.000 μB per atom
**ΔE to the lowest computed polymorph**: 0.00 kcal/mol of atoms

Unit cell a=5.2412 b=6.4260 c=8.7091 alpha=120.23 beta=90.00 gamma=90.00
Element x y z (fractional)
Li  0.8701  0.6061  0.1511
Li  0.1299  0.3939  0.8489
Li  0.3701  0.3939  0.3489
Li  0.6299  0.6061  0.6511
Cu  0.1241  0.9906  0.2483
Cu  0.8759  0.0094  0.7517
Cu  0.6241  0.0094  0.2517
Cu  0.3759  0.9906  0.7483
Cu  0.6200  0.8016  0.4477
Cu  0.3800  0.1984  0.5523
Cu  0.1200  0.1984  0.0523
Cu  0.8800  0.8016  0.9477
Cu  0.1246  0.5993  0.6523
Cu  0.8754  0.4007  0.3477
Cu  0.6246  0.4007  0.8477
Cu  0.3754  0.5993  0.1523
Ir  0.1222  0.8008  0.4553
Ir  0.8778  0.1992  0.5447
Ir  0.6222  0.1992  0.0447
Ir  0.3778  0.8008  0.9553

[3]
Compound: TbPr3Bi4
Source: Alexandria via LeMat-Bulk
Functional: PBE-GGA
Structure: relaxed

Summary:
**Total energy**: -5.25 eV per atom
**Spin magnetization**: 0.000 μB per atom

Unit cell a=6.5112 b=6.5112 c=6.5112 alpha=90.00 beta=90.00 gamma=90.00
Element x y z (fractional)
Pr  0.0000  0.5000  0.5000
Pr  0.5000  0.0000  0.5000
Pr  0.5000  0.5000  0.0000
Tb  0.0000  0.0000  0.0000
Bi  0.5000  0.0000  0.0000
Bi  0.0000  0.5000  0.0000
Bi  0.0000  0.0000  0.5000
Bi  0.5000  0.5000  0.5000

[4]
Compound: YTlCl2
Source: Alexandria via LeMat-Bulk
Functional: PBE-GGA
Structure: relaxed

Summary:
**Total energy**: -4.43 eV per atom
**Spin magnetization**: 0.000 μB per atom
**ΔE to the lowest computed polymorph**: 0.92 kcal/mol of atoms

Unit cell a=3.3624 b=3.3611 c=10.6511 alpha=90.00 beta=90.00 gamma=90.00
Element x y z (fractional)
Y  0.5000  0.5000  0.7500
Tl  0.5000  0.5000  0.2500
Cl  0.0000  0.0000  0.8995
Cl  0.0000  0.0000  0.6005

[5]
Compound: Er4ZrP5
Source: Alexandria via LeMat-Bulk
Functional: PBE-GGA
Structure: relaxed

Summary:
**Total energy**: -6.95 eV per atom
**Spin magnetization**: 0.000 μB per atom

Unit cell a=5.5396 b=6.7775 c=6.7775 alpha=80.39 beta=65.88 gamma=65.88
Element x y z (fractional)
Er  0.4032  0.3981  0.7975
Er  0.8013  0.7975  0.6019
Er  0.2007  0.2025  0.3981
Er  0.5988  0.6019  0.2025
Zr  0.0012  0.0000  0.0000
P  0.9030  0.3907  0.8053
P  0.2937  0.8053  0.6093
P  0.7083  0.1947  0.3907
P  0.0990  0.6093  0.1947
P  0.5011  0.0000  0.0000

[6]
Compound: NaAgGeAu
Source: Alexandria via LeMat-Bulk
Functional: PBE-GGA
Structure: relaxed

Summary:
**Total energy**: -3.09 eV per atom
**Spin magnetization**: 0.000 μB per atom

Unit cell a=4.5311 b=4.5979 c=5.2477 alpha=63.85 beta=90.00 gamma=119.52
Element x y z (fractional)
Na  0.6021  0.2041  0.4638
Ag  0.3803  0.7605  0.1411
Ge  0.1582  0.3164  0.7990
Au  0.8138  0.6276  0.8353